## GaGe2Mo (PBE-GGA)

Data for a relaxed GaGe2Mo crystal.

Calculated density = 7.64 Mg/m³
Crystal system = cubic
Total DFT energy (no corrections) = -5.257 eV per atom

abc: 6.4651 6.4651 6.4651
angles: 90.00 90.00 90.00
Last column: nearest neighbours and their distance in Å.
Space group F-43m (No. 216)
Asymmetric unit:
1 Ga 0.0000 0.0000 0.0000 x4  4 Mo 2.80, 4 Ge 2.80
2 Ge 0.0000 0.0000 0.5000 x4  4 Ge 2.80, 4 Mo 2.80
3 Ge 0.2500 0.2500 0.7500 x4  4 Ge 2.80, 4 Ga 2.80
4 Mo 0.2500 0.2500 0.2500 x4  4 Ge 2.80, 4 Ga 2.80

---

## GaGeMo6 (PBE-GGA)

Data for a relaxed GaGeMo6 crystal.

Calculated density = 9.72 Mg/m³
Crystal system = cubic
Total DFT energy (no corrections) = -9.248 eV per atom

abc: 4.9690 4.9690 4.9690
angles: 90.00 90.00 90.00
Last column: nearest neighbours and their distance in Å.
Space group Pm-3 (No. 200)
Asymmetric unit:
1 Ga 0.0000 0.0000 0.0000 x1  12 Mo 2.78
2 Ge 0.5000 0.5000 0.5000 x1  12 Mo 2.78
3 Mo 0.0000 0.5000 0.2501 x6  2 Mo 2.48-2.49, 2 Ge 2.78, 2 Ga 2.78

---

What is the formula in the first record?
GaGe2Mo

---

Look up the calculated density of the second one.
9.72 Mg/m³

---

Which formula does entry 1 have?
GaGe2Mo